# 1
The following is a DFT calculation (PBE-GGA) of a geometry-optimized CoBi3S structure.

The calculation puts the raw total energy at -4.15 eV/atom. The formation energy without anion corrections is 2.12 eV per formula unit. As for the energy relative to the lowest polymorph listed for this composition: 0 meV per atom.

The space group is Pm-3m (No. 221) and the conventional cell measures 5.085, 5.085 and 5.085 Å, with angles of 90.00, 90.00 and 90.00 degrees. Symmetry generates all atoms from Co at (0.000, 0.000, 0.000), Bi at (0.000, 0.000, 0.500) and S at (0.500, 0.500, 0.500).

---

# 2
The following is a DFT calculation (PBE-GGA) of a geometry-optimized ZnGe2Pb2 structure.

The calculation puts the raw total energy at -3.44 eV/atom. As for the energy relative to the lowest polymorph listed for this composition: 0 meV per atom. For the energy relative to the elements, the calculation gives 0.150 eV per atom.

The space group is P4/mbm (No. 127) and the conventional cell measures 6.803, 6.803 and 5.247 Å, with angles of 90.00, 90.00 and 90.00 degrees. Symmetry generates all atoms from Zn at (0.000, 0.000, 0.000), Ge at (0.135, 0.365, 0.000) and Pb at (0.185, 0.685, 0.500).

---

# 3
The following is a DFT calculation (PBE-GGA) of a geometry-optimized ScFe2P structure.

The calculation puts the raw total energy at -7.47 eV/atom. For the energy relative to the elements, the calculation gives -0.300 eV per atom.

The space group is P4/mmm (No. 123) and the conventional cell measures 3.964, 3.964 and 3.087 Å, with angles of 90.00, 90.00 and 90.00 degrees. Symmetry generates all atoms from Sc at (0.000, 0.000, 0.000), Fe at (0.000, 0.500, 0.500) and P at (0.500, 0.500, 0.000).